! Mg3BSb (PBE-GGA, relaxed); values from VASP
! Distance to the lowest polymorph of the same formula: 1.108 eV per atom
! E_tot: -1.92 eV per atom
! Formation energy (no corrections): 1195 meV per atom
! Mass density: 2.27 g/cm³
&SYSTEM
  ibrav = 0, nat = 5, ntyp = 3
/
ATOMIC_SPECIES
Mg 24.30 Mg.upf
B 10.81 B.upf
Sb 121.76 Sb.upf
ATOMIC_POSITIONS angstrom
Mg 0.000 0.000 2.659
Mg 0.000 2.659 0.000
Mg 2.659 0.000 0.000
B 2.659 2.659 2.659
Sb 0.000 0.000 0.000
CELL_PARAMETERS angstrom
5.318 0.000 0.000
0.000 5.318 0.000
0.000 0.000 5.318